This record from Alexandria via LeMat-Bulk describes a crystal of Mo2PdBrO relaxed with PBEsol. The functional is meta-GGA SCAN.

Calculated values
**Crystal system**: tetragonal
**Formation energy without anion corrections**: 1.894 eV per atom
**Space-group type**: P4/mmm (123)

Structure (POSCAR):
```
Mo2PdBrO
1.0
4.7025 0.0000 0.0000
0.0000 5.0175 0.0000
0.0000 0.0000 5.0175
O Mo Br Pd
1 2 1 1
Direct
0.5000 0.5000 0.5000
0.0000 0.0000 0.5000
0.0000 0.5000 0.0000
0.5000 0.0000 0.0000
0.0000 0.0000 0.0000
```

=====

This record from Alexandria via LeMat-Bulk describes a crystal of Cs2NdAgCl6 relaxed with PBEsol. The functional is meta-GGA SCAN.

Calculated values
**Crystal system**: cubic
**Formation energy without anion corrections**: -2.072 eV per atom
**Space-group type**: Fm-3m (225)

Structure (POSCAR):
```
Cs2NdAgCl6
1.0
7.5880 0.0000 0.0000
3.7940 6.5714 0.0000
3.7940 2.1905 6.1956
Cs Nd Ag Cl
2 1 1 6
Direct
0.7500 0.7500 0.7500
0.2500 0.2500 0.2500
0.5000 0.5000 0.5000
0.0000 0.0000 0.0000
0.7512 0.2488 0.2488
0.7512 0.7512 0.2488
0.2488 0.7512 0.7512
0.7512 0.2488 0.7512
0.2488 0.7512 0.2488
0.2488 0.2488 0.7512
```

=====

This record from Alexandria via LeMat-Bulk describes a crystal of Li2ZrPdRh relaxed with PBEsol. The functional is meta-GGA SCAN.

Calculated values
**Crystal system**: tetragonal
**Space-group type**: P4/mmm (123)
**Formation energy from the elements**: 1354 meV per atom

Structure (POSCAR):
```
Li2ZrPdRh
1.0
4.6026 0.0000 0.0000
0.0000 4.6026 0.0000
0.0000 0.0000 4.6148
Rh Zr Pd Li
1 1 1 2
Direct
0.5000 0.5000 0.5000
0.0000 0.0000 0.0000
0.0000 0.0000 0.5000
0.0000 0.5000 0.0000
0.5000 0.0000 0.0000
```

=====

This record from Alexandria via LeMat-Bulk describes a crystal of La2SiTc relaxed with PBEsol. The functional is meta-GGA SCAN.

Calculated values
**Crystal system**: orthorhombic
**Formation energy without anion corrections**: -0.357 eV per atom
**Space-group type**: Amm2 (38)

Structure (POSCAR):
```
La2SiTc
1.0
-2.6066 2.9195 0.9617
-1.8094 -2.6038 3.0003
4.4331 3.2067 2.2808
Si Tc La
1 1 2
Direct
0.0000 0.8089 0.6179
0.5000 0.6841 0.3682
0.0000 0.1145 0.2289
0.5000 0.3920 0.7840
```

=====

This record from Alexandria via LeMat-Bulk describes a crystal of TcOs2Au relaxed with PBEsol. The functional is meta-GGA SCAN.

Calculated values
**Crystal system**: orthorhombic
**Energy relative to the lowest polymorph listed for this composition**: 0.267 eV per atom
**Space-group type**: Cmm2 (35)
**Formation energy from the elements**: 617 meV per atom

Structure (POSCAR):
```
TcOs2Au
1.0
2.6786 0.0022 0.0000
-1.2512 2.3684 0.0000
0.0000 0.0000 9.4776
Au Os Tc
1 2 1
Direct
0.5000 0.5000 0.2516
0.0000 0.0000 0.9867
0.5000 0.5000 0.7475
0.0000 0.0000 0.5142
```

=====

This record from Alexandria via LeMat-Bulk describes a crystal of Nb2O5 relaxed with PBEsol. The functional is meta-GGA SCAN.

Calculated values
**Crystal system**: monoclinic
**Energy relative to the lowest polymorph listed for this composition**: 0.012 eV per atom
**Formation energy without anion corrections**: -2.720 eV per atom
**Space-group type**: C2/m (12)

Structure (POSCAR):
```
Nb2O5
1.0
3.8311 0.0000 0.0000
1.9156 14.4564 -0.0054
1.9156 4.2289 14.5607
Nb O
16 40
Direct
0.9387 0.0225 0.1002
0.0613 0.9775 0.8998
0.3423 0.2159 0.0995
0.6577 0.7841 0.9005
0.2082 0.4865 0.0971
0.7918 0.5135 0.9029
0.0752 0.7529 0.0966
0.9248 0.2471 0.9034
0.9799 0.6705 0.3697
0.0201 0.3295 0.6303
0.8450 0.9395 0.3705
0.1550 0.0605 0.6295
0.2482 0.1365 0.3671
0.7518 0.8635 0.6329
0.1126 0.4077 0.3670
0.8874 0.5923 0.6330
0.4255 0.0612 0.0878
0.5745 0.9388 0.9122
0.8707 0.1853 0.0733
0.1293 0.8147 0.9267
0.7268 0.4854 0.0609
0.2732 0.5146 0.9391
0.5885 0.7685 0.0545
0.4115 0.2315 0.9455
0.4813 0.6862 0.3513
0.5187 0.3138 0.6487
0.3309 0.9791 0.3590
0.6691 0.0209 0.6410
0.7706 0.1014 0.3574
0.2294 0.8986 0.6427
0.6242 0.3966 0.3549
0.3758 0.6034 0.6451
0.2852 0.3445 0.0851
0.7148 0.6555 0.9149
0.1450 0.6246 0.0854
0.8550 0.3754 0.9146
0.0153 0.9102 0.0592
0.9847 0.0898 0.9408
0.8976 0.9811 0.2238
0.1024 0.0189 0.7762
0.3044 0.1676 0.2236
0.6956 0.8324 0.7764
0.1684 0.4430 0.2201
0.8316 0.5570 0.7799
0.0246 0.7333 0.2176
0.9754 0.2667 0.7824
0.9086 0.8153 0.3675
0.0914 0.1847 0.6325
0.1877 0.2626 0.3620
0.8123 0.7374 0.6380
0.0521 0.5435 0.3524
0.9479 0.4565 0.6476
0.9341 0.6316 0.5001
0.0659 0.3684 0.4999
0.7917 0.9154 0.5011
0.2083 0.0846 0.4989
```

=====

This record from Alexandria via LeMat-Bulk describes a crystal of KLiCu2 relaxed with PBEsol. The functional is meta-GGA SCAN.

Calculated values
**Crystal system**: monoclinic
**Energy relative to the lowest polymorph listed for this composition**: 0.000 eV per atom
**Space-group type**: Cm (8)
**Formation energy from the elements**: 184 meV per atom

Structure (POSCAR):
```
KLiCu2
1.0
-0.1045 -1.0660 4.0281
3.6789 0.2771 -1.9877
-2.0003 5.8307 1.4912
Cu K Li
2 1 1
Direct
0.0158 0.0316 0.0473
0.6878 0.3757 0.0600
0.4891 0.9782 0.4737
0.3072 0.6145 0.9190
```

=====

This record from Alexandria via LeMat-Bulk describes a crystal of Sr3LiOs relaxed with PBEsol. The functional is meta-GGA SCAN.

Calculated values
**Crystal system**: cubic
**Space-group type**: Pm-3m (221)
**Formation energy from the elements**: 399 meV per atom

Structure (POSCAR):
```
Sr3LiOs
1.0
-0.7952 5.2559 -2.3202
-5.3783 -1.5047 -1.5654
-2.0205 1.9369 5.0800
Sr Os Li
3 1 1
Direct
0.0000 0.5000 0.0000
0.0000 0.0000 0.5000
0.5000 0.0000 0.0000
0.0000 0.0000 0.0000
0.5000 0.5000 0.5000
```

=====

This record from Alexandria via LeMat-Bulk describes a crystal of LaTa2Rh relaxed with PBEsol. The functional is meta-GGA SCAN.

Calculated values
**Crystal system**: monoclinic
**Energy relative to the lowest polymorph listed for this composition**: 0.179 eV per atom
**Space-group type**: C2/m (12)
**Formation energy from the elements**: 94 meV per atom

Structure (POSCAR):
```
LaTa2Rh
1.0
2.9646 0.0000 0.0000
0.0000 5.0513 0.0377
-1.4823 -1.4320 5.2635
La Rh Ta
1 1 2
Direct
0.5000 0.0000 0.0000
0.0000 0.5000 0.0000
0.7166 0.7048 0.4331
0.2834 0.2952 0.5669
```

=====

This record from Alexandria via LeMat-Bulk describes a crystal of Zr2BrCl relaxed with PBEsol. The functional is meta-GGA SCAN.

Calculated values
**Crystal system**: trigonal
**Energy relative to the lowest polymorph listed for this composition**: 0.000 eV per atom
**Formation energy without anion corrections**: -1.293 eV per atom
**Space-group type**: R3m (160)

Structure (POSCAR):
```
Zr2BrCl
1.0
3.4297 0.0000 0.0000
1.7148 2.9702 0.0000
1.7148 0.9901 9.2223
Zr Br Cl
2 1 1
Direct
0.9975 0.9975 0.0076
0.7493 0.7493 0.7520
0.4841 0.4841 0.5477
0.2691 0.2691 0.1927
```

=====

This record from Alexandria via LeMat-Bulk describes a crystal of LiPbSe2 relaxed with PBEsol. The functional is meta-GGA SCAN.

Calculated values
**Crystal system**: tetragonal
**Formation energy without anion corrections**: -0.647 eV per atom
**Space-group type**: P4mm (99)

Structure (POSCAR):
```
LiPbSe2
1.0
3.9446 0.0000 0.0000
0.0000 3.9446 0.0000
0.0000 0.0000 6.2035
Pb Se Li
1 2 1
Direct
0.5000 0.5000 0.8154
0.0000 0.0000 0.9340
0.5000 0.5000 0.3871
0.0000 0.0000 0.3635
```

=====

This record from Alexandria via LeMat-Bulk describes a crystal of Li2ScIn relaxed with PBEsol. The functional is meta-GGA SCAN.

Calculated values
**Crystal system**: tetragonal
**Space-group type**: P4/mmm (123)
**Formation energy from the elements**: -141 meV per atom

Structure (POSCAR):
```
Li2ScIn
1.0
-1.7817 0.0999 -2.9546
-0.9417 -3.2892 0.4567
-5.2665 1.9580 3.2420
In Li Sc
1 2 1
Direct
0.5000 0.5000 0.5000
0.0000 0.0000 0.7272
0.0000 0.0000 0.2728
0.5000 0.5000 0.0000
```

=====

This record from Alexandria via LeMat-Bulk describes a crystal of Y2ZrFe relaxed with PBEsol. The functional is meta-GGA SCAN.

Calculated values
**Crystal system**: orthorhombic
**Space-group type**: Immm (71)
**Formation energy from the elements**: 232 meV per atom

Structure (POSCAR):
```
Y2ZrFe
1.0
-0.1099 -2.4072 -2.3563
4.8522 0.3786 -0.6131
-1.6223 -2.6227 5.1654
Fe Y Zr
1 2 1
Direct
0.0000 0.5000 0.0000
0.6983 0.6983 0.3966
0.3017 0.3017 0.6034
0.5000 0.0000 0.0000
```

=====

In the order shown, the computed magnetization values come out to 7.8; 0.0; 0.7; 0.0; 0.0; 0.0; 0.0; 0.8; 0.0; 0.0; 0.0; 0.2; 0.0 μB/cell.
In the order shown, the computed electronic total energy values come out to -118.8; -219.2; -95.3; -132.7; -245.5; -116.5; -40.4; -139.1; -209.7; -94.0; -120.9; -53.0; -103.6 eV/f.u..